meta-GGA SCAN Ti2CS, single point on PBEsol structure; DOS at the Fermi energy = 1.9 states/eV/cell; energy relative to the elements, uncorrected = -542 kJ/mol of formula units
1.0
3.166 0.000 0.000
-1.583 2.742 0.000
0.000 0.000 11.160
Ti C S
4 2 2
direct
0.333 0.667 0.100 Ti
0.333 0.667 0.400 Ti
0.667 0.333 0.600 Ti
0.667 0.333 0.900 Ti
0.000 0.000 0.000 C
0.000 0.000 0.500 C
0.333 0.667 0.750 S
0.667 0.333 0.250 S

meta-GGA SCAN TiC2S, single point on PBEsol structure; DOS at the Fermi energy = 5.0 states/eV/cell; energy relative to the elements, uncorrected = 299 kJ/mol of formula units
1.0
-2.428 2.428 3.574
2.428 -2.428 3.574
2.428 2.428 -3.574
Ti C S
2 4 2
direct
0.000 0.000 0.000 Ti
0.750 0.250 0.500 Ti
0.194 0.125 0.569 C
0.375 0.806 0.931 C
0.556 0.625 0.431 C
0.875 0.444 0.069 C
0.250 0.750 0.500 S
0.500 0.500 0.000 S

meta-GGA SCAN Ti3CS, single point on PBEsol structure; DOS at the Fermi energy = 4.3 states/eV/cell; energy relative to the elements, uncorrected = -196 kJ/mol of formula units
1.0
4.098 0.000 0.000
0.000 4.098 0.000
0.000 0.000 4.098
Ti C S
3 1 1
direct
0.000 0.000 0.500 Ti
0.000 0.500 0.000 Ti
0.500 0.000 0.000 Ti
0.000 0.000 0.000 C
0.500 0.500 0.500 S

> Which value of energy relative to the elements, uncorrected does entry 1 give?

-542 kJ/mol of formula units

Copy entry 2 word for word.
meta-GGA SCAN TiC2S, single point on PBEsol structure; DOS at the Fermi energy = 5.0 states/eV/cell; energy relative to the elements, uncorrected = 299 kJ/mol of formula units
1.0
-2.428 2.428 3.574
2.428 -2.428 3.574
2.428 2.428 -3.574
Ti C S
2 4 2
direct
0.000 0.000 0.000 Ti
0.750 0.250 0.500 Ti
0.194 0.125 0.569 C
0.375 0.806 0.931 C
0.556 0.625 0.431 C
0.875 0.444 0.069 C
0.250 0.750 0.500 S
0.500 0.500 0.000 S

> What is the DOS at the Fermi energy in the second record?

5.0 states/eV/cell